A plane-wave DFT calculation with PBE was carried out for a geometry-optimized SrSbPt2Au structure.

The space group is P4/mmm (No. 123) and the conventional cell measures 5.259, 5.259 and 5.379 Å, with angles of 90.00, 90.00 and 90.00 degrees. The inequivalent atoms are Sr at (0.000, 0.000, 0.000), Sb at (0.500, 0.500, 0.500), Pt at (0.000, 0.500, 0.000) and Au at (0.000, 0.000, 0.500).

The calculation puts the total magnetization at 0.00 μB per cell. As for the density of states at the Fermi level: 3.09 states/eV/cell. For the uncorrected formation energy, the calculation gives 1.152 eV per atom.